# 1
Be2Fe | GGA-PBEsol | relaxed

The structure in CIF format:
```
data_Be2Fe
_space_group_name_H-M_alt 'C 1 2/m 1'
_space_group_IT_number 12
_space_group_name_Hall '-C 2y'
_cell_length_a 8.041
_cell_length_b 2.573
_cell_length_c 5.141
_cell_angle_alpha 90.00
_cell_angle_beta 108.95
_cell_angle_gamma 90.00
loop_
_atom_site_label
_atom_site_fract_x
_atom_site_fract_y
_atom_site_fract_z
Be1 0.009 0.000 0.252
Be2 0.164 0.500 0.070
Fe1 0.168 0.500 0.597
```

- energy of formation (meV per atom) = -94
- crystal system = monoclinic
- ΔE to the lowest computed polymorph (eV per formula unit) = 0.51



# 2
BeFe3 | GGA-PBEsol | relaxed

The structure in CIF format:
```
data_BeFe3
_space_group_name_H-M_alt 'P 4/m m m'
_space_group_IT_number 123
_space_group_name_Hall '-P 4 2'
_cell_length_a 2.783
_cell_length_b 2.783
_cell_length_c 5.192
_cell_angle_alpha 90.00
_cell_angle_beta 90.00
_cell_angle_gamma 90.00
loop_
_atom_site_label
_atom_site_fract_x
_atom_site_fract_y
_atom_site_fract_z
Be1 0.000 0.000 0.000
Fe1 0.000 0.000 0.500
Fe2 0.500 0.500 0.231
```

- energy of formation (meV per atom) = -18
- crystal system = tetragonal



# 3
BeFe3 | GGA-PBEsol | relaxed

The structure in CIF format:
```
data_BeFe3
_space_group_name_H-M_alt 'R -3 m'
_space_group_IT_number 166
_space_group_name_Hall '-R 3 2"'
_cell_length_a 7.6698
_cell_length_b 7.6698
_cell_length_c 2.3771
_cell_angle_alpha 90.00
_cell_angle_beta 90.00
_cell_angle_gamma 120.00
loop_
_atom_site_label
_atom_site_fract_x
_atom_site_fract_y
_atom_site_fract_z
Be1 0.0000 0.0000 0.0000
Fe1 0.0000 0.5000 0.0000
```

- energy of formation (meV per atom) = -15
- crystal system = trigonal



# 4
Be24Fe5 | GGA-PBEsol | relaxed

The structure in CIF format:
```
data_Be24Fe5
_space_group_name_H-M_alt 'I -4 3 m'
_space_group_IT_number 217
_space_group_name_Hall 'I -4 2 3'
_cell_length_a 7.749
_cell_length_b 7.749
_cell_length_c 7.749
_cell_angle_alpha 90.00
_cell_angle_beta 90.00
_cell_angle_gamma 90.00
loop_
_atom_site_label
_atom_site_fract_x
_atom_site_fract_y
_atom_site_fract_z
Be1 0.038 0.353 0.647
Be2 0.091 0.091 0.722
Fe1 0.000 0.000 0.000
Fe2 0.190 0.190 0.190
```

- energy of formation (meV per atom) = -161
- crystal system = cubic



# 5
Be2Fe | GGA-PBEsol | relaxed

The structure in CIF format:
```
data_Be2Fe
_space_group_name_H-M_alt 'C 1 2/m 1'
_space_group_IT_number 12
_space_group_name_Hall '-C 2y'
_cell_length_a 7.979
_cell_length_b 2.632
_cell_length_c 5.022
_cell_angle_alpha 90.00
_cell_angle_beta 107.91
_cell_angle_gamma 90.00
loop_
_atom_site_label
_atom_site_fract_x
_atom_site_fract_y
_atom_site_fract_z
Be1 0.000 0.000 0.000
Be2 0.000 0.000 0.500
Be3 0.166 0.500 0.335
Fe1 0.161 0.500 0.825
```

- energy of formation (meV per atom) = -138
- crystal system = monoclinic
- ΔE to the lowest computed polymorph (eV per formula unit) = 0.38



# 6
BeFe2 | GGA-PBEsol | relaxed

The structure in CIF format:
```
data_BeFe2
_space_group_name_H-M_alt 'I 4/m c m'
_space_group_IT_number 140
_space_group_name_Hall '-I 4 2c'
_cell_length_a 5.162
_cell_length_b 5.162
_cell_length_c 4.251
_cell_angle_alpha 90.00
_cell_angle_beta 90.00
_cell_angle_gamma 90.00
loop_
_atom_site_label
_atom_site_fract_x
_atom_site_fract_y
_atom_site_fract_z
Be1 0.000 0.000 0.250
Fe1 0.158 0.342 0.000
```

- energy of formation (meV per atom) = -93
- crystal system = tetragonal



# 7
BeFe2 | GGA-PBEsol | relaxed

The structure in CIF format:
```
data_BeFe2
_space_group_name_H-M_alt 'P -6 2 m'
_space_group_IT_number 189
_space_group_name_Hall 'P -6 -2'
_cell_length_a 6.1784
_cell_length_b 6.1784
_cell_length_c 2.6316
_cell_angle_alpha 90.00
_cell_angle_beta 90.00
_cell_angle_gamma 120.00
loop_
_atom_site_label
_atom_site_fract_x
_atom_site_fract_y
_atom_site_fract_z
Be1 0.0000 0.0000 0.0000
Be2 0.3333 0.6667 0.5000
Fe1 0.0000 0.2712 0.5000
Fe2 0.0000 0.6161 0.0000
```

- energy of formation (meV per atom) = -52
- crystal system = hexagonal



# 8
BeFe2 | GGA-PBEsol | relaxed

The structure in CIF format:
```
data_BeFe2
_space_group_name_H-M_alt 'I m m m'
_space_group_IT_number 71
_space_group_name_Hall '-I 2 2'
_cell_length_a 2.368
_cell_length_b 3.462
_cell_length_c 7.148
_cell_angle_alpha 90.00
_cell_angle_beta 90.00
_cell_angle_gamma 90.00
loop_
_atom_site_label
_atom_site_fract_x
_atom_site_fract_y
_atom_site_fract_z
Be1 0.000 0.000 0.000
Fe1 0.000 0.000 0.339
```

- energy of formation (meV per atom) = -33
- crystal system = orthorhombic



# 9
BeFe3 | GGA-PBEsol | relaxed

The structure in CIF format:
```
data_BeFe3
_space_group_name_H-M_alt 'P m -3 m'
_space_group_IT_number 221
_space_group_name_Hall '-P 4 2 3'
_cell_length_a 3.412
_cell_length_b 3.412
_cell_length_c 3.412
_cell_angle_alpha 90.00
_cell_angle_beta 90.00
_cell_angle_gamma 90.00
loop_
_atom_site_label
_atom_site_fract_x
_atom_site_fract_y
_atom_site_fract_z
Be1 0.000 0.000 0.000
Fe1 0.000 0.500 0.500
```

- energy of formation (meV per atom) = -27
- crystal system = cubic



# 10
BeFe3 | GGA-PBEsol | relaxed

The structure in CIF format:
```
data_BeFe3
_space_group_name_H-M_alt 'C m m m'
_space_group_IT_number 65
_space_group_name_Hall '-C 2 2'
_cell_length_a 2.899
_cell_length_b 3.774
_cell_length_c 7.335
_cell_angle_alpha 90.00
_cell_angle_beta 90.00
_cell_angle_gamma 90.00
loop_
_atom_site_label
_atom_site_fract_x
_atom_site_fract_y
_atom_site_fract_z
Be1 0.000 0.000 0.000
Fe1 0.000 0.000 0.500
Fe2 0.000 0.500 0.232
```

- energy of formation (meV per atom) = -34
- crystal system = orthorhombic



# 11
Be2Fe | GGA-PBEsol | relaxed

The structure in CIF format:
```
data_Be2Fe
_space_group_name_H-M_alt 'I 41/a m d'
_space_group_IT_number 141
_cell_length_a 3.186
_cell_length_b 3.186
_cell_length_c 20.004
_cell_angle_alpha 90.00
_cell_angle_beta 90.00
_cell_angle_gamma 90.00
loop_
_space_group_symop_operation_xyz
'x,y,z'
'-x,-y,-z'
'-y+1/4,x+3/4,z+1/4'
'y+1/4,-x+3/4,-z+1/4'
'-x+1/2,-y,z+1/2'
'x+1/2,y,-z+1/2'
'y+1/4,-x+1/4,z+3/4'
'-y+1/4,x+1/4,-z+3/4'
'x,-y,-z'
'-x,y,z'
'-y+1/4,-x+1/4,-z+3/4'
'y+1/4,x+1/4,z+3/4'
'-x+1/2,y,-z+1/2'
'x+1/2,-y,z+1/2'
'y+1/4,x+3/4,-z+1/4'
'-y+1/4,-x+3/4,z+1/4'
'x+1/2,y+1/2,z+1/2'
'-x+1/2,-y+1/2,-z+1/2'
'-y+3/4,x+1/4,z+3/4'
'y+3/4,-x+1/4,-z+3/4'
'-x,-y+1/2,z'
'x,y+1/2,-z'
'y+3/4,-x+3/4,z+1/4'
'-y+3/4,x+3/4,-z+1/4'
'x+1/2,-y+1/2,-z+1/2'
'-x+1/2,y+1/2,z+1/2'
'-y+3/4,-x+3/4,-z+1/4'
'y+3/4,x+3/4,z+1/4'
'-x,y+1/2,-z'
'x,-y+1/2,z'
'y+3/4,x+1/4,-z+3/4'
'-y+3/4,-x+1/4,z+3/4'
loop_
_atom_site_label
_atom_site_fract_x
_atom_site_fract_y
_atom_site_fract_z
Be1 0.000 0.250 0.125
Be2 0.000 0.250 0.289
Fe1 0.000 0.250 0.799
```

- energy of formation (meV per atom) = -186
- crystal system = tetragonal
- ΔE to the lowest computed polymorph (eV per formula unit) = 0.23



# 12
Be2Fe | GGA-PBEsol | relaxed

The structure in CIF format:
```
data_Be2Fe
_space_group_name_H-M_alt 'P 63/m m c'
_space_group_IT_number 194
_space_group_name_Hall '-P 6c 2c'
_cell_length_a 4.1240
_cell_length_b 4.1240
_cell_length_c 13.4675
_cell_angle_alpha 90.00
_cell_angle_beta 90.00
_cell_angle_gamma 120.00
loop_
_atom_site_label
_atom_site_fract_x
_atom_site_fract_y
_atom_site_fract_z
Be1 0.0000 0.5000 0.0000
Be2 0.1629 0.3258 0.2500
Be3 0.3333 0.6667 0.1255
Fe1 0.0000 0.0000 0.0938
Fe2 0.3333 0.6667 0.6563
```

- energy of formation (meV per atom) = -264
- crystal system = hexagonal
- ΔE to the lowest computed polymorph (eV per formula unit) = 0.00